ZrTcAg3 | PBE-GGA | relaxed

abc: 4.915 4.915 4.915
angles: 90.00 90.00 90.00
Positions (direct):
Zr 0.500 0.500 0.500
Ag 0.000 0.000 0.500
Ag 0.000 0.500 0.000
Tc 0.000 0.000 0.000
Ag 0.500 0.000 0.000

Properties
SG: Pm-3m, No. 221
Density of states at the Fermi level in states/eV/f.u.: 5.99
Crystal system: cubic
Calculated formation energy in kJ/mol of formula units: 683
Excess energy over the best structure of this formula in the dataset in eV/atom: 0.000